Entry from OQMD via LeMat-Bulk: crystalline SiNi2Ge at its relaxed geometry (GGA-PBE).

## Properties
VASP energy   -0.418 Ry per atom
Space-group type   P2_1/m, No. 11

Unit cell a=5.2268 b=3.5023 c=5.5939 alpha=90.00 beta=90.32 gamma=90.00
Fractional coordinates of all 8 atoms:
Ge 0.3149 0.2500 0.9020
Ge 0.6851 0.7500 0.0980
Si 0.1811 0.7500 0.4125
Si 0.8189 0.2500 0.5875
Ni 0.4864 0.2500 0.3225
Ni 0.9969 0.2500 0.1982
Ni 0.5136 0.7500 0.6775
Ni 0.0031 0.7500 0.8018